Record 1
## AcAlSb (PBE)

Data for a geometry-optimized AcAlSb structure.

Properties
total DFT energy (no corrections)	-4.44	eV per atom
uncorrected formation energy	-0.45	eV per atom
distance to the lowest polymorph of the same formula	85	meV/atom
SG	No. 63

Cell: 5.0794 4.2341 8.8663 Å, 76.19 90.00 90.00°
Site moments in Bohr magnetons follow the coordinates.
Element x y z (fractional)
Sb1 0.7500 0.6158 0.7684  -0.01
Sb2 0.2500 0.3842 0.2316  -0.01
Al1 0.5000 0.0000 0.0000  0.00
Al2 0.0000 0.0000 0.0000  0.00
Ac1 0.7500 0.8228 0.3543  0.09
Ac2 0.2500 0.1772 0.6457  0.09

Record 2
## KGe (PBE)

Data for a geometry-optimized KGe structure.

Properties
total DFT energy (no corrections)	-2.82	eV per atom
formation enthalpy at 0 K	0.042	eV per atom
distance to the lowest polymorph of the same formula	255	meV/atom
SG	No. 5

Cell: 5.0438 5.0466 7.8843 Å, 71.35 71.39 89.96°
Element x y z (fractional)
K1 0.7395 0.2623 0.8046
K2 0.4893 0.5122 0.3045
Ge1 0.0697 0.0926 0.1458
Ge2 0.9082 0.9330 0.4636

Record 3
## Ce6CuOs3 (PBE)

Data for a geometry-optimized Ce6CuOs3 structure.

Properties
total DFT energy (no corrections)	-7.38	eV per atom
formation enthalpy at 0 K	-0.040	eV per atom
SG	No. 14

Cell: 7.0062 7.3388 9.8768 Å, 90.00 91.95 90.00°
Site moments in Bohr magnetons follow the coordinates.
Element x y z (fractional)
Ce1 0.6585 0.1737 0.9189  0.55
Ce2 0.6758 0.1640 0.5701  0.34
Ce3 0.6952 0.4188 0.2480  0.33
Ce4 0.3048 0.5812 0.7520  0.33
Ce5 0.3242 0.8360 0.4299  0.34
Ce6 0.3415 0.8263 0.0811  0.55
Ce7 0.1585 0.3263 0.4189  0.55
Ce8 0.1758 0.3360 0.0701  0.34
Ce9 0.1952 0.0812 0.7480  0.33
Ce10 0.8048 0.9188 0.2520  0.33
Ce11 0.8242 0.6640 0.9299  0.34
Ce12 0.8415 0.6737 0.5811  0.55
Cu1 0.5000 0.5000 0.5000  0.01
Cu2 0.0000 0.0000 0.0000  0.01
Os1 0.5231 0.8854 0.7291  -0.07
Os2 0.5000 0.5000 0.0000  -0.07
Os3 0.4769 0.1146 0.2709  -0.07
Os4 0.0231 0.6146 0.2291  -0.07
Os5 0.0000 0.0000 0.5000  -0.07
Os6 0.9769 0.3854 0.7709  -0.07

Record 4
## MnBe3Co (PBE)

Data for a geometry-optimized MnBe3Co structure.

Properties
total DFT energy (no corrections)	-4.37	eV per atom
formation enthalpy at 0 K	1.116	eV per atom
SG	No. 221

Cell: 3.8864 3.8864 3.8864 Å, 90.00 90.00 90.00°
Site moments in Bohr magnetons follow the coordinates.
Element x y z (fractional)
Be1 0.0000 0.5000 0.0000  -0.07
Be2 0.0000 0.0000 0.5000  -0.06
Be3 0.5000 0.0000 0.0000  -0.04
Mn1 0.0000 0.0000 0.0000  0.79
Co1 0.5000 0.5000 0.5000  1.54